P:
Compound: CaIn2NiPb
Source: the Alexandria database
Functional: PBE
Structure: relaxed

- Symmetry: P4/mmm (123)
- Total moment: 0.00 μB per cell
- Theoretical density: 6.76 g/cm3

Cell lengths 4.9841, 4.9841, 5.2998 Å; angles 90.00, 90.00, 90.00 degrees
Sites, in units of the cell vectors:
Ca: 0.0000 0.0000 0.0000
In: 0.0000 0.5000 0.5000
In: 0.5000 0.0000 0.5000
Ni: 0.0000 0.0000 0.5000
Pb: 0.5000 0.5000 0.0000


Q:
Compound: CaIn2NiPb
Source: the Alexandria database
Functional: PBE
Structure: relaxed

- Symmetry: P4/mmm (123)
- Total moment: 0.00 μB per cell
- Theoretical density: 6.75 g/cm3

Cell lengths 4.9979, 4.9979, 5.2786 Å; angles 90.00, 90.00, 90.00 degrees
Sites, in units of the cell vectors:
Ca: 0.0000 0.0000 0.0000
In: 0.0000 0.5000 0.5000
In: 0.5000 0.0000 0.5000
Ni: 0.5000 0.5000 0.5000
Pb: 0.5000 0.5000 0.0000


Which one is most stable, and which one is least stable? P is the most stable of them, while Q is the least stable.


P:
Compound: CaTlIn2Ni
Source: the Alexandria database
Functional: PBE
Structure: relaxed

- Symmetry: P4/mmm (123)
- Total moment: 0.00 μB per cell
- Theoretical density: 6.89 g/cm3

Cell lengths 5.0114, 5.0114, 5.1149 Å; angles 90.00, 90.00, 90.00 degrees
Sites, in units of the cell vectors:
Ca: 0.0000 0.0000 0.0000
Tl: 0.5000 0.5000 0.0000
In: 0.0000 0.5000 0.5000
In: 0.5000 0.0000 0.5000
Ni: 0.5000 0.5000 0.5000


Q:
Compound: CaTlIn2Ni
Source: the Alexandria database
Functional: PBE
Structure: relaxed

- Symmetry: P4/mmm (123)
- Total moment: 0.00 μB per cell
- Theoretical density: 6.66 g/cm3

Cell lengths 4.9942, 4.9942, 5.3247 Å; angles 90.00, 90.00, 90.00 degrees
Sites, in units of the cell vectors:
Ca: 0.0000 0.0000 0.0000
Tl: 0.5000 0.5000 0.0000
In: 0.0000 0.5000 0.5000
In: 0.5000 0.0000 0.5000
Ni: 0.0000 0.0000 0.5000


Which one is most stable, and which one is least stable? Q is the most stable of them, while P is the least stable.


P:
Compound: Ca2InO
Source: the Alexandria database
Functional: PBE
Structure: relaxed

- Symmetry: R-3m (166)
- Total moment: 0.54 μB per cell
- Theoretical density: 3.63 g/cm3

Cell lengths 9.3275, 9.3275, 9.3275 Å; angles 21.63, 21.63, 21.63 degrees
Sites, in units of the cell vectors:
Ca: 0.1167 0.1167 0.1167
Ca: 0.8833 0.8833 0.8833
In: 0.0000 0.0000 0.0000
O: 0.5000 0.5000 0.5000


Q:
Compound: Ca2InO
Source: the Alexandria database
Functional: PBE
Structure: relaxed

- Symmetry: P4/mmm (123)
- Total moment: 0.00 μB per cell
- Theoretical density: 4.47 g/cm3

Cell lengths 3.1373, 3.1373, 7.9603 Å; angles 90.00, 90.00, 90.00 degrees
Sites, in units of the cell vectors:
Ca: 0.0000 0.0000 0.1816
Ca: 0.0000 0.0000 0.8184
In: 0.5000 0.5000 0.5000
O: 0.5000 0.5000 0.0000


Which one is most stable, and which one is least stable? Q is the most stable of them, while P is the least stable.


P:
Compound: CaInP2O
Source: the Alexandria database
Functional: PBE
Structure: relaxed

- Symmetry: P4/mmm (123)
- Total moment: 1.90 μB per cell
- Theoretical density: 3.48 g/cm3

Cell lengths 5.1689, 5.1689, 4.1531 Å; angles 90.00, 90.00, 90.00 degrees
Sites, in units of the cell vectors:
Ca: 0.0000 0.0000 0.0000
In: 0.5000 0.5000 0.5000
P: 0.0000 0.5000 0.5000
P: 0.5000 0.0000 0.5000
O: 0.5000 0.5000 0.0000


Q:
Compound: CaInP2O
Source: the Alexandria database
Functional: PBE
Structure: relaxed

- Symmetry: P4/mmm (123)
- Total moment: 1.48 μB per cell
- Theoretical density: 3.17 g/cm3

Cell lengths 5.3805, 5.3805, 4.2093 Å; angles 90.00, 90.00, 90.00 degrees
Sites, in units of the cell vectors:
Ca: 0.0000 0.0000 0.0000
In: 0.5000 0.5000 0.5000
P: 0.0000 0.5000 0.0000
P: 0.5000 0.0000 0.0000
O: 0.0000 0.0000 0.5000


Which one is most stable, and which one is least stable? P is the most stable of them, while Q is the least stable.


P:
Compound: CaIn3Os
Source: the Alexandria database
Functional: PBE
Structure: relaxed

- Symmetry: Pm-3m (221)
- Total moment: 0.00 μB per cell
- Theoretical density: 5.64 g/cm3

Cell lengths 5.5319, 5.5319, 5.5319 Å; angles 90.00, 90.00, 90.00 degrees
Sites, in units of the cell vectors:
Ca: 0.0000 0.0000 0.0000
In: 0.0000 0.0000 0.5000
In: 0.0000 0.5000 0.0000
In: 0.5000 0.0000 0.0000
Os: 0.5000 0.5000 0.5000


Q:
Compound: CaIn3Os
Source: the Alexandria database
Functional: PBE
Structure: relaxed

- Symmetry: Pm-3m (221)
- Total moment: 0.00 μB per cell
- Theoretical density: 6.85 g/cm3

Cell lengths 5.1838, 5.1838, 5.1838 Å; angles 90.00, 90.00, 90.00 degrees
Sites, in units of the cell vectors:
Ca: 0.0000 0.0000 0.0000
In: 0.0000 0.5000 0.5000
In: 0.5000 0.0000 0.5000
In: 0.5000 0.5000 0.0000
Os: 0.5000 0.5000 0.5000


Which one is most stable, and which one is least stable? Q is the most stable of them, while P is the least stable.


P:
Compound: CaInP2S
Source: the Alexandria database
Functional: PBE
Structure: relaxed

- Symmetry: P4/mmm (123)
- Total moment: 1.19 μB per cell
- Theoretical density: 2.81 g/cm3

Cell lengths 5.3215, 5.3215, 5.1904 Å; angles 90.00, 90.00, 90.00 degrees
Sites, in units of the cell vectors:
Ca: 0.0000 0.0000 0.0000
In: 0.5000 0.5000 0.5000
P: 0.0000 0.5000 0.0000
P: 0.5000 0.0000 0.0000
S: 0.0000 0.0000 0.5000


Q:
Compound: CaInP2S
Source: the Alexandria database
Functional: PBE
Structure: relaxed

- Symmetry: P4/mmm (123)
- Total moment: 0.00 μB per cell
- Theoretical density: 2.98 g/cm3

Cell lengths 5.1034, 5.1034, 5.3295 Å; angles 90.00, 90.00, 90.00 degrees
Sites, in units of the cell vectors:
Ca: 0.0000 0.0000 0.0000
In: 0.5000 0.5000 0.5000
P: 0.0000 0.5000 0.5000
P: 0.5000 0.0000 0.5000
S: 0.5000 0.5000 0.0000


Which one is most stable, and which one is least stable? Q is the most stable of them, while P is the least stable.